Entry 1:
A crystal of Ba2SrSb relaxed with PBEsol. Source: Alexandria via LeMat-Bulk, functional SCAN.

## Properties
- Space group: No. 123
- Formation energy (no corrections): -527.0 meV per atom

Structure (POSCAR):
```
Ba2SrSb
1.0
5.390 0.000 0.000
0.000 5.390 0.000
0.000 0.000 5.339
Ba Sr Sb
2 1 1
Cartesian
0.000 2.695 0.000 Ba
2.695 0.000 0.000 Ba
0.000 0.000 2.669 Sr
2.695 2.695 2.669 Sb
```

=====

Entry 2:
A crystal of TiPb2CS relaxed with PBEsol. Source: Alexandria via LeMat-Bulk, functional SCAN.

## Properties
- Space group: No. 123
- Formation energy (no corrections): 680.8 meV per atom

Structure (POSCAR):
```
TiPb2CS
1.0
5.442 0.000 0.000
0.000 5.442 0.000
0.000 0.000 3.846
Ti Pb C S
1 2 1 1
Cartesian
0.000 0.000 0.000 Ti
0.000 2.721 0.000 Pb
2.721 0.000 0.000 Pb
0.000 0.000 1.923 C
2.721 2.721 1.923 S
```

=====

Entry 3:
A crystal of BaLiHg2 relaxed with PBEsol. Source: Alexandria via LeMat-Bulk, functional SCAN.

## Properties
- Calculated formation energy: -0.359 eV/atom
- Space group: No. 119

Structure (POSCAR):
```
BaLiHg2
1.0
-2.557 2.557 4.100
2.557 -2.557 4.100
2.557 2.557 -4.100
Ba Li Hg
1 1 2
Cartesian
0.000 0.000 0.000 Ba
2.557 0.000 2.050 Li
0.000 0.000 4.100 Hg
0.000 2.557 2.050 Hg
```

=====

Entry 4:
A crystal of HgIr3 relaxed with PBEsol. Source: Alexandria via LeMat-Bulk, functional SCAN.

## Properties
- Calculated formation energy: 0.625 eV/atom
- Space group: No. 10

Structure (POSCAR):
```
HgIr3
1.0
2.772 0.000 0.000
0.000 4.743 0.000
-0.026 0.000 4.754
Hg Ir
1 3
Cartesian
0.000 0.000 0.000 Hg
0.707 2.371 1.255 Ir
1.373 0.000 2.377 Ir
2.039 2.371 3.498 Ir
```

=====

Entry 5:
A crystal of CrSeN2F relaxed with PBEsol. Source: Alexandria via LeMat-Bulk, functional SCAN.

## Properties
- Space group: No. 123
- Polymorph energy (0 for the lowest one): 0.0 meV/atom
- Formation energy (no corrections): 787.6 meV per atom

Structure (POSCAR):
```
CrSeN2F
1.0
3.843 0.000 0.000
0.000 3.843 0.000
0.000 0.000 3.977
Cr Se N F
1 1 2 1
Cartesian
0.000 0.000 0.000 Cr
1.922 1.922 1.989 Se
0.000 1.922 1.989 N
1.922 0.000 1.989 N
1.922 1.922 0.000 F
```

=====

Entry 6:
A crystal of YCd2Hg relaxed with PBEsol. Source: Alexandria via LeMat-Bulk, functional SCAN.

## Properties
- Calculated formation energy: -0.306 eV/atom
- Space group: No. 71

Structure (POSCAR):
```
YCd2Hg
1.0
-2.106 2.372 4.573
2.106 -2.372 4.573
2.106 2.372 -4.573
Y Cd Hg
1 2 1
Cartesian
0.000 0.000 0.000 Y
2.106 0.000 2.374 Cd
0.000 2.372 2.199 Cd
0.000 0.000 4.573 Hg
```

=====

Entry 7:
A crystal of Mg2TcNi relaxed with PBEsol. Source: Alexandria via LeMat-Bulk, functional SCAN.

## Properties
- Calculated formation energy: 0.189 eV/atom
- Space group: No. 166
- Polymorph energy (0 for the lowest one): 119.6 meV/atom

Structure (POSCAR):
```
Mg2TcNi
1.0
1.383 0.799 8.833
-1.383 0.799 8.833
0.000 -1.597 8.833
Mg Tc Ni
2 1 1
Cartesian
0.000 0.000 6.486 Mg
0.000 0.000 20.013 Mg
0.000 0.000 0.000 Tc
0.000 0.000 13.250 Ni
```

=====

Entry 8:
A crystal of NbTe2 relaxed with PBEsol. Source: Alexandria via LeMat-Bulk, functional SCAN.

## Properties
- Space group: No. 164
- Formation energy (no corrections): -434.0 meV per atom

Structure (POSCAR):
```
NbTe2
1.0
3.632 0.000 0.000
-1.816 3.146 0.000
0.000 0.000 6.652
Nb Te
1 2
Cartesian
0.000 0.000 0.000 Nb
0.000 2.097 4.818 Te
1.816 1.049 1.834 Te
```

=====

no.,density of states at the Fermi level (states/eV per atom)
1,0.794
2,0.363
3,0.996
4,1.022
5,0.458
6,0.588
7,0.709
8,0.637